No. 1
VASP calculation (GGA-PBEsol) on crystalline KBePt at its relaxed geometry.

Summary:
- space group = No. 187
- density of states at the Fermi level (states/eV per cell) = 0.8
- ΔH_f (0 K) (eV/atom) = -0.051
- crystal system = hexagonal

abc: 3.779 3.779 5.194
angles: 90.00 90.00 120.00
Atoms (fractional coordinates):
Be1 0.000 0.000 0.500
Pt1 0.667 0.333 0.500
K1 0.333 0.667 0.000

---

No. 2
VASP calculation (GGA-PBEsol) on crystalline KBeRe2 at its relaxed geometry.

Summary:
- space group = No. 47
- density of states at the Fermi level (states/eV per cell) = 3.5
- ΔH_f (0 K) (eV/atom) = 1.439
- crystal system = orthorhombic

abc: 2.651 4.801 5.111
angles: 90.00 90.00 90.00
Atoms (fractional coordinates):
Be1 0.500 0.000 0.500
Re1 0.000 0.000 0.000
Re2 0.500 0.500 0.000
K1 0.000 0.500 0.500

---

No. 3
VASP calculation (GGA-PBEsol) on crystalline KBeRe2 at its relaxed geometry.

Summary:
- space group = No. 99
- density of states at the Fermi level (states/eV per cell) = 3.6
- ΔH_f (0 K) (eV/atom) = 0.623
- crystal system = tetragonal

abc: 3.010 3.010 8.054
angles: 90.00 90.00 90.00
Site moments in Bohr magnetons follow the coordinates.
Atoms (fractional coordinates):
Re1 0.000 0.000 0.091  0.09
Re2 0.500 0.500 0.269  0.01
K1 0.500 0.500 0.735  0.02
Be1 0.000 0.000 0.405  0.01

---

No. 4
VASP calculation (GGA-PBEsol) on crystalline K2BeRe at its relaxed geometry.

Summary:
- space group = No. 99
- density of states at the Fermi level (states/eV per cell) = 3.2
- ΔH_f (0 K) (eV/atom) = 0.876
- crystal system = tetragonal

abc: 3.202 3.202 10.057
angles: 90.00 90.00 90.00
Atoms (fractional coordinates):
Be1 0.500 0.500 0.644
K1 0.000 0.000 0.911
K2 0.500 0.500 0.341
Re1 0.000 0.000 0.604

---

No. 5
VASP calculation (GGA-PBEsol) on crystalline KBeRe at its relaxed geometry.

Summary:
- space group = No. 216
- density of states at the Fermi level (states/eV per cell) = 1.3
- ΔH_f (0 K) (eV/atom) = 2.238
- crystal system = cubic

abc: 4.409 4.409 4.409
angles: 60.00 60.00 60.00
Site moments in Bohr magnetons follow the coordinates.
Atoms (fractional coordinates):
Re1 0.500 0.500 0.500  1.96
Be1 0.750 0.750 0.750  -0.10
K1 0.000 0.000 0.000  0.02

---

No. 6
VASP calculation (GGA-PBEsol) on crystalline K2BeRe at its relaxed geometry.

Summary:
- space group = No. 12
- density of states at the Fermi level (states/eV per cell) = 3.4
- ΔH_f (0 K) (eV/atom) = 0.882
- crystal system = monoclinic

abc: 3.191 3.282 10.277
angles: 97.99 98.93 90.00
Atoms (fractional coordinates):
Be1 0.500 0.000 0.000
Re1 0.000 0.500 0.000
K1 0.142 0.123 0.284
K2 0.858 0.877 0.716

---

No. 7
VASP calculation (GGA-PBEsol) on crystalline K2BeRe at its relaxed geometry.

Summary:
- space group = No. 122
- density of states at the Fermi level (states/eV per cell) = 4.3
- ΔH_f (0 K) (eV/atom) = 1.648
- crystal system = tetragonal

abc: 4.334 9.233 9.233
angles: 86.84 76.43 76.43
Site moments in Bohr magnetons follow the coordinates.
Atoms (fractional coordinates):
Re1 0.000 0.000 0.000  2.16
Re2 0.750 0.500 0.500  2.16
Be1 0.250 0.500 0.500  -0.04
Be2 0.500 0.000 0.000  -0.04
K1 0.875 0.213 0.287  0.01
K2 0.912 0.713 0.213  0.01
K3 0.838 0.287 0.787  0.01
K4 0.375 0.787 0.713  0.01

---

No. 8
VASP calculation (GGA-PBEsol) on crystalline KBeRh3 at its relaxed geometry.

Summary:
- space group = No. 221
- density of states at the Fermi level (states/eV per cell) = 6.7
- ΔH_f (0 K) (eV/atom) = 2.573
- crystal system = cubic

abc: 4.504 4.504 4.504
angles: 90.00 90.00 90.00
Site moments in Bohr magnetons follow the coordinates.
Atoms (fractional coordinates):
Rh1 0.000 0.500 0.000  0.33
Rh2 0.000 0.000 0.500  0.33
Rh3 0.500 0.000 0.000  0.33
Be1 0.500 0.500 0.500  -0.01
K1 0.000 0.000 0.000  0.00

---

No. 9
VASP calculation (GGA-PBEsol) on crystalline KBeRh3 at its relaxed geometry.

Summary:
- space group = No. 221
- density of states at the Fermi level (states/eV per cell) = 3.8
- ΔH_f (0 K) (eV/atom) = 0.621
- crystal system = cubic

abc: 4.265 4.265 4.265
angles: 90.00 90.00 90.00
Atoms (fractional coordinates):
Rh1 0.500 0.000 0.000
Rh2 0.000 0.500 0.000
Rh3 0.000 0.000 0.500
K1 0.500 0.500 0.500
Be1 0.000 0.000 0.000

---

No. 10
VASP calculation (GGA-PBEsol) on crystalline KBeRh2 at its relaxed geometry.

Summary:
- space group = No. 65
- density of states at the Fermi level (states/eV per cell) = 2.4
- ΔH_f (0 K) (eV/atom) = 0.255
- crystal system = orthorhombic

abc: 2.722 2.722 8.769
angles: 90.00 90.00 115.56
Atoms (fractional coordinates):
Rh1 0.000 0.000 0.693
Rh2 0.000 0.000 0.307
K1 0.500 0.500 0.000
Be1 0.500 0.500 0.500

---

No. 11
VASP calculation (GGA-PBEsol) on crystalline KBeRh2 at its relaxed geometry.

Summary:
- space group = No. 10
- density of states at the Fermi level (states/eV per cell) = 3.9
- ΔH_f (0 K) (eV/atom) = 0.806
- crystal system = monoclinic

abc: 2.706 4.804 4.968
angles: 112.13 90.00 90.00
Atoms (fractional coordinates):
Rh1 0.000 0.000 0.000
Rh2 0.500 0.000 0.500
K1 0.000 0.500 0.500
Be1 0.500 0.500 0.000

---

No. 12
VASP calculation (GGA-PBEsol) on crystalline KBeRh2 at its relaxed geometry.

Summary:
- space group = No. 8
- density of states at the Fermi level (states/eV per cell) = 4.4
- ΔH_f (0 K) (eV/atom) = 0.315
- crystal system = monoclinic

abc: 2.797 4.735 6.100
angles: 100.15 90.00 107.18
Atoms (fractional coordinates):
Rh1 0.236 0.472 0.747
Rh2 0.972 0.944 0.865
K1 0.751 0.502 0.252
Be1 0.541 0.082 0.635

---

No. 13
VASP calculation (GGA-PBEsol) on crystalline KBeRu2 at its relaxed geometry.

Summary:
- space group = No. 71
- density of states at the Fermi level (states/eV per cell) = 4.4
- ΔH_f (0 K) (eV/atom) = 0.856
- crystal system = orthorhombic

abc: 2.563 4.837 5.587
angles: 115.65 103.26 90.00
Atoms (fractional coordinates):
K1 0.000 0.500 0.000
Ru1 0.207 0.207 0.414
Ru2 0.793 0.793 0.586
Be1 0.500 0.000 0.000

---

No. 14
VASP calculation (GGA-PBEsol) on crystalline K2BeRu at its relaxed geometry.

Summary:
- space group = No. 71
- density of states at the Fermi level (states/eV per cell) = 2.7
- ΔH_f (0 K) (eV/atom) = 0.566
- crystal system = orthorhombic

abc: 3.202 3.245 10.080
angles: 99.26 99.14 90.00
Site moments in Bohr magnetons follow the coordinates.
Atoms (fractional coordinates):
K1 0.640 0.640 0.280  0.00
K2 0.360 0.360 0.720  0.00
Ru1 0.500 0.000 0.000  0.62
Be1 0.000 0.500 0.000  -0.02

---

No. 15
VASP calculation (GGA-PBEsol) on crystalline KBeRu2 at its relaxed geometry.

Summary:
- space group = No. 12
- density of states at the Fermi level (states/eV per cell) = 4.1
- ΔH_f (0 K) (eV/atom) = 1.272
- crystal system = monoclinic

abc: 2.601 4.944 5.438
angles: 115.83 101.73 94.53
Atoms (fractional coordinates):
Ru1 0.000 0.000 0.500
Ru2 0.500 0.500 0.500
Be1 0.500 0.000 0.000
K1 0.000 0.500 0.000

---

No. 16
VASP calculation (GGA-PBEsol) on crystalline K4BeRu at its relaxed geometry.

Summary:
- space group = No. 216
- density of states at the Fermi level (states/eV per cell) = 10.8
- ΔH_f (0 K) (eV/atom) = 1.521
- crystal system = cubic

abc: 6.520 6.520 6.520
angles: 60.00 60.00 60.00
Site moments in Bohr magnetons follow the coordinates.
Atoms (fractional coordinates):
Ru1 0.750 0.750 0.750  1.76
K1 0.375 0.375 0.375  -0.01
K2 0.375 0.375 0.875  -0.01
K3 0.875 0.375 0.375  -0.01
K4 0.375 0.875 0.375  -0.01
Be1 0.000 0.000 0.000  -0.04

---

No. 17
VASP calculation (GGA-PBEsol) on crystalline K2BeRu at its relaxed geometry.

Summary:
- space group = No. 139
- density of states at the Fermi level (states/eV per cell) = 2.4
- ΔH_f (0 K) (eV/atom) = 1.272
- crystal system = tetragonal

abc: 3.794 3.794 5.971
angles: 108.52 108.52 90.00
Atoms (fractional coordinates):
Ru1 0.500 0.500 0.000
K1 0.250 0.750 0.500
K2 0.750 0.250 0.500
Be1 0.000 0.000 0.000

---

No. 18
VASP calculation (GGA-PBEsol) on crystalline KBeSb at its relaxed geometry.

Summary:
- space group = No. 187
- ΔE_f (raw) (eV per atom) = -0.21
- crystal system = hexagonal

abc: 4.187 4.187 5.362
angles: 90.00 90.00 120.00
Atoms (fractional coordinates):
Be1 0.000 0.000 0.500
K1 0.667 0.333 0.000
Sb1 0.333 0.667 0.500

---

No. 19
VASP calculation (GGA-PBEsol) on crystalline KBeSb2 at its relaxed geometry.

Summary:
- space group = No. 123
- ΔE_f (raw) (eV per atom) = 0.41
- density of states at the Fermi level (states/eV per cell) = 1.9
- crystal system = tetragonal

abc: 4.469 4.620 4.620
angles: 90.00 90.00 90.00
Atoms (fractional coordinates):
Sb1 0.000 0.000 0.500
Sb2 0.000 0.500 0.000
K1 0.500 0.000 0.000
Be1 0.500 0.500 0.500

---

No. 20
VASP calculation (GGA-PBEsol) on crystalline KBeSb4 at its relaxed geometry.

Summary:
- space group = No. 216
- ΔE_f (raw) (eV per atom) = 0.40
- density of states at the Fermi level (states/eV per cell) = 3.3
- crystal system = cubic

abc: 6.241 6.241 6.241
angles: 60.00 60.00 60.00
Atoms (fractional coordinates):
K1 0.000 0.000 0.000
Be1 0.750 0.750 0.750
Sb1 0.865 0.378 0.378
Sb2 0.378 0.378 0.865
Sb3 0.378 0.378 0.378
Sb4 0.378 0.865 0.378

---

no.,spin magnetization (μB/f.u.)
1,0.00
2,0.00
3,0.24
4,0.00
5,2.13
6,0.00
7,2.59
8,0.93
9,0.00
10,0.00
11,0.00
12,0.00
13,0.00
14,0.57
15,0.00
16,1.46
17,0.00
18,0.00
19,0.00
20,0.00